3
Lattice="-1.3674 1.9616 4.1833 1.3674 -1.9616 4.1833 1.3674 1.9616 -4.1833" Properties=species:S:1:pos:R:3 comment="ReMoRu | the Alexandria database | PBE | relaxed" crystal_system=orthorhombic e_above_lowest_polymorph_mev_per_atom=60 total_energy_ev_per_atom=-10.750 delta_e_f_ev_per_atom=0.101 magmom_total_mub_per_cell=0.00 pbc="T T T"
Re 0.0000 0.0000 0.0000
Mo 0.0000 0.0000 2.7448
Ru 0.0000 0.0000 5.5158

---

16
Lattice="8.5231 0.0000 0.0000 0.0000 7.9224 0.0000 0.0000 0.0000 7.8831" Properties=species:S:1:pos:R:3 comment="Pm4SiBr3 | the Alexandria database | PBE | relaxed" crystal_system=orthorhombic e_form_raw_ev_per_atom=-0.7736 total_energy_ev_per_atom=-4.454 magmom_total_mub_per_cell=1.94 pbc="T T T"
Pm 0.0000 1.3306 0.0000
Pm 0.0000 6.1092 4.0624
Pm 2.1169 3.1641 3.0427
Pm 2.1447 4.7583 6.9843
Pm 4.2615 1.8131 0.1208
Pm 4.2615 6.5918 3.9416
Pm 6.3784 4.7583 6.9843
Pm 6.4062 3.1641 3.0427
Si 0.0000 6.5810 6.8385
Si 4.2615 1.3414 2.8969
Br 0.0000 1.0402 2.9424
Br 2.0167 2.0086 5.8798
Br 2.2448 5.9138 1.9382
Br 4.2615 6.8822 6.8840
Br 6.2782 5.9138 1.9382
Br 6.5064 2.0086 5.8798

---

4
Lattice="4.0337 -1.6547 0.0000 4.0337 1.6547 0.0000 -1.6640 0.0000 6.3682" Properties=species:S:1:pos:R:3 comment="Fe2SbPb | the Alexandria database | PBE | relaxed" crystal_system=monoclinic e_form_raw_ev_per_atom=0.2953 e_above_lowest_polymorph_mev_per_atom=96 total_energy_ev_per_atom=-5.894 magmom_total_mub_per_cell=4.55 pbc="T T T"
Fe 0.0000 0.0000 0.0000
Fe 5.6213 0.0000 0.8161
Sb 3.2963 0.0000 2.0218
Pb 0.6394 0.0000 4.8229

---

11
Lattice="-2.0603 8.1451 4.4835 2.0603 -8.1451 4.4835 2.0603 8.1451 -4.4835" Properties=species:S:1:pos:R:3 comment="Pa2Bi2Se7 | the Alexandria database | PBE | relaxed" crystal_system=orthorhombic e_form_raw_ev_per_atom=-0.8608 total_energy_ev_per_atom=-5.510 magmom_total_mub_per_cell=2.05 pbc="T T T"
Pa 0.0000 0.0000 0.0000
Pa 0.0000 8.1451 0.4748
Bi 2.0603 4.3150 2.1389
Bi 0.0000 3.8302 6.6224
Se 2.0603 0.0000 1.9930
Se 0.0000 2.9689 0.7870
Se 2.0603 6.1854 -0.0182
Se 0.0000 1.9597 4.4653
Se 0.0000 6.5778 2.9426
Se 0.0000 13.3213 0.7870
Se 0.0000 9.7124 2.9426

---

4
Lattice="1.6352 0.9441 6.5726 -1.6352 0.9441 6.5726 0.0000 -1.8882 6.5726" Properties=species:S:1:pos:R:3 comment="TlOsN2 | the Alexandria database | PBE | relaxed" crystal_system=trigonal e_form_raw_ev_per_atom=1.2497 e_above_lowest_polymorph_mev_per_atom=765 total_energy_ev_per_atom=-6.312 magmom_total_mub_per_cell=0.00 pbc="T T T"
Tl 0.0000 0.0000 0.0000
Os 0.0000 0.0000 9.8589
N 0.0000 0.0000 8.0271
N 0.0000 0.0000 11.6908

---

4
Lattice="0.0000 3.1835 3.1835 3.1835 0.0000 3.1835 3.1835 3.1835 0.0000" Properties=species:S:1:pos:R:3 comment="LiScBeIn | the Alexandria database | PBE | relaxed" crystal_system=cubic total_energy_ev_per_atom=-3.812 delta_e_f_ev_per_atom=-0.135 magmom_total_mub_per_cell=0.00 pbc="T T T"
Li 0.0000 0.0000 0.0000
Sc 1.5917 1.5917 1.5917
Be 3.1835 3.1835 3.1835
In 4.7752 4.7752 4.7752

---

11
Lattice="4.1299 2.3844 7.5590 -4.1299 2.3844 7.5590 0.0000 -4.7688 7.5590" Properties=species:S:1:pos:R:3 comment="Rb2Tl6In2Pb | the Alexandria database | PBE | relaxed" crystal_system=trigonal total_energy_ev_per_atom=-2.244 delta_e_f_ev_per_atom=0.058 magmom_total_mub_per_cell=0.00 pbc="T T T"
Rb 0.0000 0.0000 5.1698
Rb 0.0000 0.0000 17.5073
Tl 0.0000 -1.8904 8.5436
Tl -1.6372 0.9452 8.5436
Tl -1.6372 -0.9452 14.1334
Tl 1.6372 0.9452 8.5436
Tl 1.6372 -0.9452 14.1334
Tl 0.0000 1.8904 14.1334
In 0.0000 0.0000 1.6105
In 0.0000 0.0000 21.0665
Pb 0.0000 0.0000 11.3385

---

7
Lattice="1.4817 0.8555 15.6546 -1.4817 0.8555 15.6546 0.0000 -1.7110 15.6546" Properties=species:S:1:pos:R:3 comment="Al4Ag3 | the Alexandria database | PBE | relaxed" crystal_system=trigonal e_above_lowest_polymorph_mev_per_atom=0 total_energy_ev_per_atom=-3.406 delta_e_f_ev_per_atom=-0.046 magmom_total_mub_per_cell=0.00 pbc="T T T"
Al 0.0000 0.0000 3.3702
Al 0.0000 0.0000 10.0448
Al 0.0000 0.0000 36.9191
Al 0.0000 0.0000 43.5937
Ag 0.0000 0.0000 16.8600
Ag 0.0000 0.0000 23.4820
Ag 0.0000 0.0000 30.1039

---

10
Lattice="7.1761 0.0000 0.0000 0.0000 7.1761 0.0000 0.0000 0.0000 2.7981" Properties=species:S:1:pos:R:3 comment="Si2Rh2Au | the Alexandria database | PBE | relaxed" crystal_system=tetragonal e_form_raw_ev_per_atom=-0.4949 e_above_lowest_polymorph_mev_per_atom=45 total_energy_ev_per_atom=-6.260 magmom_total_mub_per_cell=0.00 pbc="T T T"
Si 1.0883 2.4998 0.0000
Si 2.4998 6.0878 0.0000
Si 4.6763 1.0883 0.0000
Si 6.0878 4.6763 0.0000
Rh 1.0231 4.6112 1.3990
Rh 2.5649 1.0231 1.3990
Rh 4.6112 6.1530 1.3990
Rh 6.1530 2.5649 1.3990
Au 0.0000 0.0000 1.3990
Au 3.5880 3.5880 1.3990

---

14
Lattice="6.9171 0.0000 0.0000 0.0000 7.1762 0.0000 -2.8194 0.0000 8.7682" Properties=species:S:1:pos:R:3 comment="KGeBiSe4 | the Alexandria database | PBE | relaxed" crystal_system=monoclinic e_form_raw_ev_per_atom=-0.5654 total_energy_ev_per_atom=-3.927 magmom_total_mub_per_cell=0.00 pbc="T T T"
K 0.4424 1.7940 3.8480
K 3.6553 5.3821 4.9202
Ge 1.4136 5.3821 1.5336
Ge 2.6841 1.7940 7.2346
Bi -0.8190 1.7940 8.3517
Bi 4.9167 5.3821 0.4165
Se -2.1579 5.3821 8.0558
Se -0.4699 5.3821 2.9500
Se 1.2086 3.6337 6.8484
Se 1.2086 7.1306 6.8484
Se 2.8891 0.0456 1.9198
Se 2.8891 3.5425 1.9198
Se 4.5676 1.7940 5.8182
Se 6.2556 1.7940 0.7124